BeCo2Br (GGA-PBEsol, relaxed); ΔE_f (raw) = 1.6 eV/f.u.; excess energy over the best structure of this formula in the dataset = 0.000 eV/atom; space-group type = No. 166; volume = 13.02 Å³ per atom; DOS(E_F) = 6.30 states/eV/f.u.; total DFT energy (no corrections) = -4.946 eV/atom
1.0
3.334 0.000 0.000
1.667 2.888 0.000
1.667 0.963 5.409
Be Co Br
1 2 1
direct
0.500 0.500 0.500 Be
0.219 0.219 0.343 Co
0.781 0.781 0.657 Co
0.000 0.000 0.000 Br